Material: CdSiB2As
Method: DFT, GGA-PBE
State: relaxed

Lattice parameters (Å, degrees): 3.9970 5.4682 3.9970 90.00 90.00 90.00
Last column: nearest neighbours and their distance in Å.
Fractional coordinates of all 5 atoms:
As: 0.5000 0.5000 0.5000  4 Cd 2.83
B: 0.0000 0.0000 0.5000  2 Si 2.00
B: 0.5000 0.0000 0.0000  2 Si 2.00
Si: 0.0000 0.0000 0.0000  4 B 2.00
Cd: 0.0000 0.5000 0.0000  2 Si 2.73, 4 As 2.83

## Properties
ΔE_f (raw) ... 1.2298 eV/atom
Total DFT energy (no corrections) ... -3.639 eV/atom
Spin magnetization ... 0.00 μB/atom

***

Material: SrCd2BAs
Method: DFT, GGA-PBE
State: relaxed

Lattice parameters (Å, degrees): 5.1907 5.9036 5.1907 90.00 90.00 90.00
Last column: nearest neighbours and their distance in Å.
Fractional coordinates of all 5 atoms:
Sr: 0.0000 0.5000 0.0000  2 As 2.95
As: 0.0000 0.0000 0.0000  4 Cd 2.60
B: 0.5000 0.5000 0.5000  4 Sr 3.67, 8 Cd 3.93
Cd: 0.0000 0.0000 0.5000  2 As 2.60
Cd: 0.5000 0.0000 0.0000  2 As 2.60

## Properties
Total DFT energy (no corrections) ... -2.154 eV/atom
Spin magnetization ... 0.06 μB/atom